1.
An optimized crystal structure of ScCr2NiH, computed with PBE.

Calculated values
Mass density (g/cm3): 4.5
Space group: P4/mmm (123)
E (eV/atom): -5.755
Distance to the lowest polymorph of the same formula (eV per atom): 0.097

a b c (Å): 4.8796 3.2509 4.8796
angles (deg): 90.00 90.00 90.00
With the nearest neighbours (Å) after each atom.
Sites, in units of the cell vectors:
H (0.0000, 0.5000, 0.0000)  2 Sc 1.63
Sc (0.0000, 0.0000, 0.0000)  2 H 1.63
Ni (0.5000, 0.5000, 0.5000)  8 Cr 2.93, 2 Ni 3.25
Cr (0.0000, 0.0000, 0.5000)  2 Sc 2.44
Cr (0.5000, 0.0000, 0.0000)  2 Sc 2.44

---

2.
An optimized crystal structure of SrCr4Cl, computed with PBE.

Calculated values
Mass density (g/cm3): 5.2
Space group: F-43m (216)
E (eV/atom): -5.934
ΔE_f (raw) (eV per atom): 1.069

a b c (Å): 5.3107 5.3107 5.3107
angles (deg): 60.00 60.00 60.00
With the nearest neighbours (Å) after each atom.
Sites, in units of the cell vectors:
Cl (0.0000, 0.0000, 0.0000)  12 Cr 3.09, 4 Sr 3.25
Sr (0.7500, 0.7500, 0.7500)  12 Cr 3.15, 4 Cl 3.25
Cr (0.3596, 0.3596, 0.3596)  3 Cr 2.33
Cr (0.3596, 0.3596, 0.9213)  3 Cr 2.33
Cr (0.3596, 0.9213, 0.3596)  3 Cr 2.33
Cr (0.9213, 0.3596, 0.3596)  3 Cr 2.33

---

3.
An optimized crystal structure of BaRuNO2, computed with PBE.

Calculated values
Mass density (g/cm3): 7.1
Space group: P4/mmm (123)
E (eV/atom): -6.984
ΔE_f (raw) (eV per atom): -1.096

a b c (Å): 4.1735 4.1735 3.8311
angles (deg): 90.00 90.00 90.00
With the nearest neighbours (Å) after each atom.
Sites, in units of the cell vectors:
Ru (0.0000, 0.0000, 0.0000)  2 N 1.92, 4 O 2.09
N (0.0000, 0.0000, 0.5000)  2 Ru 1.92
Ba (0.5000, 0.5000, 0.5000)  8 O 2.83, 4 N 2.95
O (0.0000, 0.5000, 0.0000)  2 Ru 2.09
O (0.5000, 0.0000, 0.0000)  2 Ru 2.09